Record 1
## Cs3Sb4Pb2 (GGA-PBE)

Data for a relaxed Cs3Sb4Pb2 crystal.

The magnetic moment comes out at 0.00 μB per cell. The value obtained for the uncorrected formation energy is -0.290 eV per atom. The calculation puts the relative energy among the computed polymorphs at 2.2 kJ per mole of atoms. The total DFT energy (no corrections) comes out at -29.08 eV/cell. The value obtained for the theoretical density is 5478 kg/m³. Its space group is P-1 (2).

```
Cs3Sb4Pb2
1.0
-0.780 5.048 -0.238
-5.907 1.436 -5.042
-10.563 1.173 4.595
Pb Sb Cs
2 4 3
direct
0.668 0.376 0.290
0.332 0.624 0.710
0.700 0.598 0.002
0.040 0.561 0.359
0.960 0.439 0.641
0.300 0.402 0.998
0.000 0.000 0.000
0.358 0.935 0.350
0.642 0.065 0.650
```

***

Record 2
## Cs3SbPb (GGA-PBE)

Data for a relaxed Cs3SbPb crystal.

The magnetic moment comes out at 0.00 μB per cell. The value obtained for the uncorrected formation energy is -0.179 eV per atom. The calculation puts the relative energy among the computed polymorphs at 0.0 kJ per mole of atoms. The total DFT energy (no corrections) comes out at -22.57 eV/cell. The value obtained for the theoretical density is 3995 kg/m³. Its space group is C2/m (12).

```
Cs3SbPb
1.0
9.194 0.858 -0.078
-1.690 9.078 0.078
-4.169 -4.653 7.130
Cs Pb Sb
6 2 2
direct
0.287 0.565 0.852
0.139 0.971 0.752
0.713 0.435 0.148
0.781 0.613 0.752
0.861 0.029 0.248
0.219 0.387 0.248
0.576 0.813 0.389
0.424 0.187 0.611
0.720 0.065 0.786
0.280 0.935 0.214
```

***

Record 3
## CsSbPb2 (GGA-PBE)

Data for a relaxed CsSbPb2 crystal.

The magnetic moment comes out at 0.00 μB per cell. The value obtained for the uncorrected formation energy is -0.105 eV per atom. The total DFT energy (no corrections) comes out at -12.81 eV/cell. The value obtained for the theoretical density is 7164 kg/m³. Its space group is P4/mmm (123).

```
CsSbPb2
1.0
4.307 0.000 0.000
0.000 4.307 0.000
0.000 0.000 8.361
Pb Sb Cs
2 1 1
direct
0.000 0.000 0.176
0.000 0.000 0.824
0.500 0.500 0.000
0.500 0.500 0.500
```

***

Record 4
## CsSb4Pb5 (GGA-PBE)

Data for a relaxed CsSb4Pb5 crystal.

The magnetic moment comes out at 0.00 μB per cell. The value obtained for the uncorrected formation energy is -0.023 eV per atom. The total DFT energy (no corrections) comes out at -36.12 eV/cell. The value obtained for the theoretical density is 6890 kg/m³. Its space group is C2/m (12).

```
CsSb4Pb5
1.0
-1.605 -5.517 1.317
8.189 1.515 3.134
-3.936 2.711 6.557
Sb Pb Cs
4 5 1
direct
0.669 0.337 0.327
0.047 0.093 0.676
0.331 0.663 0.673
0.953 0.907 0.324
0.785 0.570 0.071
0.215 0.430 0.929
0.176 0.352 0.440
0.824 0.648 0.560
0.500 0.000 0.500
0.500 0.000 0.000
```